Record 1
Entry from Alexandria via LeMat-Bulk: a geometry-optimized Cu2Bi2Au structure (PBE).

* magnetization: 0.000 μB/f.u.
* E above lowest polymorph: 0.000 eV per atom
* formation enthalpy at 0 K: 0.113 eV/atom

The structure in extended XYZ format:
```
10
Lattice="7.033 0.000 0.000 0.000 7.033 0.000 0.000 0.000 4.135" Properties=species:S:1:pos:R:3 pbc="T T T"
Cu 0.903 2.614 0.000
Cu 2.614 6.131 0.000
Cu 4.419 0.903 0.000
Cu 6.131 4.419 0.000
Bi 1.218 4.735 2.068
Bi 2.298 1.218 2.068
Bi 4.735 5.815 2.068
Bi 5.815 2.298 2.068
Au 0.000 0.000 0.000
Au 3.517 3.517 0.000
```



Record 2
Entry from Alexandria via LeMat-Bulk: a geometry-optimized BeB2Rh4 structure (PBE).

* magnetization: 0.000 μB/f.u.
* formation enthalpy at 0 K: 0.170 eV/atom

The structure in extended XYZ format:
```
7
Lattice="-3.790 3.790 1.593 3.790 -3.790 1.593 3.790 3.790 -1.593" Properties=species:S:1:pos:R:3 pbc="T T T"
Be 0.000 0.000 0.000
B 3.790 0.000 0.796
B 0.000 3.790 0.796
Rh 3.790 1.931 0.000
Rh 1.931 3.790 0.000
Rh 1.859 0.000 1.593
Rh 0.000 1.859 1.593
```



Record 3
Entry from Alexandria via LeMat-Bulk: a geometry-optimized PuCuAu structure (PBE).

* magnetization: 5.860 μB/f.u.
* E above lowest polymorph: 0.024 eV per atom
* formation enthalpy at 0 K: -0.250 eV/atom

The structure in extended XYZ format:
```
3
Lattice="4.693 0.000 0.000 -2.347 4.064 0.000 0.000 0.000 3.133" Properties=species:S:1:pos:R:3 pbc="T T T"
Pu 0.000 0.000 0.000
Cu 2.347 1.355 1.567
Au 0.000 2.710 1.567
```